The following is a DFT calculation (PBE-GGA) of a geometry-optimized NbAuS2N structure.

a b c (Å): 4.9292 4.9292 3.7430
angles (deg): 90.00 90.00 90.00
Positions (direct):
1 Nb 0.5000 0.5000 0.5000
2 Au 0.0000 0.0000 0.0000
3 S 0.0000 0.5000 0.0000
4 S 0.5000 0.0000 0.0000
5 N 0.0000 0.0000 0.5000

Relative energy among the computed polymorphs: 23.42 kcal/mol of atoms

The following is a DFT calculation (PBE-GGA) of a geometry-optimized ReSeF structure.

a b c (Å): 3.2290 6.6771 5.3338
angles (deg): 92.84 72.51 89.89
Positions (direct):
1 F 0.6217 0.6562 0.7566
2 F 0.3783 0.3438 0.2434
3 Se 0.1025 0.2066 0.7964
4 Se 0.8975 0.7934 0.2036
5 Re 0.6570 0.9423 0.6886
6 Re 0.3430 0.0577 0.3114

E_tot: -40.37 eV/cell

The following is a DFT calculation (PBE-GGA) of a geometry-optimized La2Sb4Ir3Rh structure.

a b c (Å): 4.6077 4.6077 10.4802
angles (deg): 90.00 90.00 90.00
Positions (direct):
1 La 0.5000 0.0000 0.2536
2 La 0.0000 0.5000 0.7464
3 Sb 0.5000 0.5000 0.0000
4 Sb 0.0000 0.0000 0.0000
5 Sb 0.5000 0.0000 0.6300
6 Sb 0.0000 0.5000 0.3700
7 Ir 0.0000 0.0000 0.5000
8 Ir 0.5000 0.0000 0.8779
9 Ir 0.0000 0.5000 0.1221
10 Rh 0.5000 0.5000 0.5000

E_tot: -67.52 eV/cell

The following is a DFT calculation (PBE-GGA) of a geometry-optimized La4Pr3PuTe8 structure.

a b c (Å): 9.0984 9.0883 9.0971
angles (deg): 120.03 120.00 90.00
Each line ends with the local moment (μB).
Positions (direct):
1 La 0.5000 0.0000 0.0000  0.00
2 La 0.5000 0.0000 0.5000  0.02
3 La 0.0000 0.0000 0.0000  0.02
4 La 0.0000 0.0000 0.5000  0.02
5 Pr 0.5000 0.5000 0.0000  0.02
6 Pr 0.5000 0.5000 0.5000  0.02
7 Pr 0.0000 0.5000 0.5000  0.02
8 Pu 0.0000 0.5000 0.0000  5.57
9 Te 0.2462 0.7446 0.9984  -0.01
10 Te 0.2462 0.7447 0.4924  -0.01
11 Te 0.2507 0.2521 0.5014  0.00
12 Te 0.7522 0.7446 0.9984  -0.01
13 Te 0.2478 0.2554 0.0016  -0.01
14 Te 0.7493 0.7479 0.4986  0.00
15 Te 0.7538 0.2553 0.5076  -0.01
16 Te 0.7538 0.2554 0.0016  -0.01

E_tot: -97.20 eV/cell

The following is a DFT calculation (PBE-GGA) of a geometry-optimized ErLuScTi structure.

a b c (Å): 5.2394 5.2394 5.2394
angles (deg): 60.00 60.00 60.00
Each line ends with the local moment (μB).
Positions (direct):
1 Sc 0.5000 0.5000 0.5000  0.18
2 Lu 0.2500 0.2500 0.2500  0.33
3 Ti 0.0000 0.0000 0.0000  1.44
4 Er 0.7500 0.7500 0.7500  0.41

ΔE_f: 0.2071 eV per atom

The following is a DFT calculation (PBE-GGA) of a geometry-optimized Ho6TlAs2Se3 structure.

a b c (Å): 4.0850 8.3647 9.2505
angles (deg): 102.82 102.76 90.00
Positions (direct):
1 Ho 0.3308 0.9058 0.6617
2 Ho 0.6708 0.5766 0.3417
3 Ho 0.6692 0.0942 0.3383
4 Ho 0.0027 0.2608 0.0053
5 Ho 0.9973 0.7392 0.9947
6 Ho 0.3292 0.4234 0.6583
7 Tl 0.5000 0.0000 0.0000
8 As 0.8325 0.6641 0.6650
9 As 0.1675 0.3359 0.3350
10 Se 0.5000 0.5000 0.0000
11 Se 0.8326 0.1684 0.6652
12 Se 0.1674 0.8316 0.3348

E_tot: -66.81 eV/cell

The following is a DFT calculation (PBE-GGA) of a geometry-optimized La4Bi2SeS structure.

a b c (Å): 8.9552 8.9552 8.9703
angles (deg): 120.06 120.06 90.00
Positions (direct):
1 La 0.2267 0.7472 0.9869
2 La 0.7528 0.2734 0.5131
3 La 0.2472 0.7266 0.4869
4 La 0.7734 0.2528 0.0131
5 La 0.7565 0.7438 0.9801
6 La 0.7562 0.7435 0.5199
7 La 0.2438 0.2565 0.4801
8 La 0.2435 0.2562 0.0199
9 Bi 0.5000 0.0000 0.0000
10 Bi 0.5000 0.0000 0.5000
11 Bi 0.0000 0.0000 0.5000
12 Bi 0.5000 0.5000 0.0000
13 Se 0.0000 0.5000 0.0000
14 Se 0.0000 0.5000 0.5000
15 S 0.5000 0.5000 0.5000
16 S 0.0000 0.0000 0.0000

E_tot: -94.60 eV/cell

The following is a DFT calculation (PBE-GGA) of a geometry-optimized TbPmZn3 structure.

a b c (Å): 4.8737 6.4228 9.1248
angles (deg): 124.64 105.49 90.00
Positions (direct):
1 Tb 0.1786 0.7524 0.3573
2 Tb 0.8214 0.2476 0.6427
3 Pm 0.3883 0.7304 0.7766
4 Pm 0.6117 0.2696 0.2234
5 Zn 0.9833 0.1802 0.9667
6 Zn 0.0167 0.8198 0.0333
7 Zn 0.5750 0.7421 0.1501
8 Zn 0.4250 0.2579 0.8499
9 Zn 0.7997 0.7539 0.5993
10 Zn 0.2003 0.2461 0.4007

ΔE_f: -0.2393 eV per atom

The following is a DFT calculation (PBE-GGA) of a geometry-optimized DyIn2P2Pd7 structure.

a b c (Å): 4.0326 4.0326 13.7572
angles (deg): 81.52 81.52 89.88
Positions (direct):
1 Dy 0.0000 0.0000 0.0000
2 In 0.8908 0.8908 0.3821
3 In 0.1092 0.1092 0.6179
4 P 0.6226 0.6226 0.7453
5 P 0.3774 0.3774 0.2547
6 Pd 0.5000 0.5000 0.0000
7 Pd 0.3693 0.3693 0.4242
8 Pd 0.6307 0.6307 0.5758
9 Pd 0.9192 0.4152 0.1610
10 Pd 0.4152 0.9192 0.1610
11 Pd 0.5848 0.0808 0.8390
12 Pd 0.0808 0.5848 0.8390

ΔE_f: -0.5376 eV per atom

The following is a DFT calculation (PBE-GGA) of a geometry-optimized SrRe2BiO8 structure.

a b c (Å): 5.5056 5.5056 7.9485
angles (deg): 69.74 69.74 60.00
Each line ends with the local moment (μB).
Positions (direct):
1 Sr 0.5000 0.5000 0.5000  0.01
2 Re 0.2470 0.2470 0.2591  0.96
3 Re 0.7530 0.7530 0.7409  0.96
4 Bi 0.0000 0.0000 0.0000  0.18
5 O 0.1649 0.1649 0.5052  0.09
6 O 0.5776 0.2977 0.1883  0.06
7 O 0.8351 0.8351 0.4948  0.09
8 O 0.9365 0.5776 0.1883  0.06
9 O 0.0635 0.4224 0.8117  0.06
10 O 0.2977 0.9365 0.1883  0.06
11 O 0.7023 0.0635 0.8117  0.06
12 O 0.4224 0.7023 0.8117  0.06

E_tot: -88.01 eV/cell

The following is a DFT calculation (PBE-GGA) of a geometry-optimized AcCeSn structure.

a b c (Å): 3.4177 5.5408 5.5408
angles (deg): 120.00 90.00 90.00
Each line ends with the local moment (μB).
Positions (direct):
1 Ac 0.1646 0.0000 0.0000  0.05
2 Sn 0.6666 0.6667 0.3333  -0.01
3 Ce 0.1688 0.3333 0.6667  0.76

ΔE_f: -0.1019 eV per atom
Relative energy among the computed polymorphs: 9.68 kcal/mol of atoms

The following is a DFT calculation (PBE-GGA) of a geometry-optimized Ac2Sm structure.

a b c (Å): 3.8992 6.7074 6.7036
angles (deg): 60.00 73.26 54.49
Positions (direct):
1 Ac 0.2805 0.3614 0.8810
2 Ac 0.2826 0.6896 0.2249
3 Sm 0.2815 0.0255 0.5530

ΔE_f: 0.0438 eV per atom
Relative energy among the computed polymorphs: 0.16 kcal/mol of atoms

The following is a DFT calculation (PBE-GGA) of a geometry-optimized HfTiNbSn structure.

a b c (Å): 4.7828 4.7828 4.7828
angles (deg): 60.00 60.00 60.00
Positions (direct):
1 Nb 0.0000 0.0000 0.0000
2 Hf 0.7500 0.7500 0.7500
3 Sn 0.5000 0.5000 0.5000
4 Ti 0.2500 0.2500 0.2500

ΔE_f: -0.1678 eV per atom
Relative energy among the computed polymorphs: 2.19 kcal/mol of atoms

The following is a DFT calculation (PBE-GGA) of a geometry-optimized YFeRu2 structure.

a b c (Å): 5.3260 5.3260 5.3260
angles (deg): 146.55 127.44 63.74
Each line ends with the local moment (μB).
Positions (direct):
1 Fe 0.2500 0.7500 0.5000  2.33
2 Ru 0.0293 0.0293 0.0000  0.40
3 Ru 0.4707 0.4707 0.0000  0.40
4 Y 0.7500 0.2500 0.5000  -0.17

ΔE_f: 0.1886 eV per atom
Relative energy among the computed polymorphs: 2.71 kcal/mol of atoms

The following is a DFT calculation (PBE-GGA) of a geometry-optimized TiFe3Os structure.

a b c (Å): 4.1854 4.1854 4.1854
angles (deg): 90.00 90.00 90.00
Each line ends with the local moment (μB).
Positions (direct):
1 Os 0.5000 0.5000 0.5000  0.67
2 Fe 0.0000 0.5000 0.0000  1.93
3 Fe 0.0000 0.0000 0.5000  1.88
4 Fe 0.5000 0.0000 0.0000  1.98
5 Ti 0.0000 0.0000 0.0000  -0.58

ΔE_f: 1.3962 eV per atom
Relative energy among the computed polymorphs: 2.70 kcal/mol of atoms

The following is a DFT calculation (PBE-GGA) of a geometry-optimized Sm3DyTm structure.

a b c (Å): 9.6439 6.7879 6.3084
angles (deg): 62.32 109.15 84.27
Positions (direct):
1 Sm 0.0496 0.9520 0.4810
2 Sm 0.7496 0.4501 0.9168
3 Sm 0.5506 0.4480 0.3177
4 Sm 0.4494 0.9521 0.6822
5 Sm 0.2504 0.9500 0.0832
6 Sm 0.9504 0.4479 0.5190
7 Dy 0.6516 0.9496 0.2849
8 Dy 0.3485 0.4503 0.7151
9 Tm 0.1491 0.4533 0.1135
10 Tm 0.8509 0.9467 0.8865

ΔE_f: 0.0191 eV per atom
Relative energy among the computed polymorphs: 0.00 kcal/mol of atoms

The following is a DFT calculation (PBE-GGA) of a geometry-optimized Ti2BeRhN structure.

a b c (Å): 4.2080 4.2080 3.3450
angles (deg): 90.00 90.00 90.00
Positions (direct):
1 Be 0.0000 0.0000 0.5000
2 N 0.0000 0.0000 0.0000
3 Rh 0.5000 0.5000 0.5000
4 Ti 0.0000 0.5000 0.0000
5 Ti 0.5000 0.0000 0.0000

E_tot: -39.88 eV/cell

no.,DOS at the Fermi energy (states/eV/f.u.)
1,7.46
2,0.77
3,8.91
4,19.09
5,7.94
6,3.60
7,4.21
8,3.43
9,3.85
10,7.29
11,7.24
12,5.17
13,4.80
14,4.20
15,4.56
16,8.67
17,1.30